# 1
VASP calculation (PBE) on an optimized crystal structure of Ca2LaBi.

Properties
ΔH_f (0 K) ... -0.20 eV/atom
D(E_F) ... 5.66 states/eV/f.u.

abc: 9.680 9.680 6.782
angles: 90.00 90.00 90.00
Space group I-42d (No. 122)
Asymmetric unit:
Ca: 0.194 0.250 0.125 x8
La: 0.000 0.000 0.500 x4
Bi: 0.000 0.000 0.000 x4

***

# 2
VASP calculation (PBE) on an optimized crystal structure of Sr2MgCuH.

Properties
D(E_F) ... 1.93 states/eV/f.u.
Offset from the most stable computed form ... 7 meV/atom

abc: 5.603 5.603 3.911
angles: 90.00 90.00 90.00
Space group P4/mmm (No. 123)
Asymmetric unit:
Sr: 0.000 0.500 0.000 x2
Mg: 0.000 0.000 0.500 x1
Cu: 0.500 0.500 0.500 x1
H: 0.500 0.500 0.000 x1

***

# 3
VASP calculation (PBE) on an optimized crystal structure of Pr8Nd4Dy3.

Properties
ΔH_f (0 K) ... 0.12 eV/atom
D(E_F) ... 24.17 states/eV/f.u.
Offset from the most stable computed form ... 0 meV/atom

abc: 7.1273 7.1273 36.4514
angles: 90.00 90.00 120.00
Space group R-3m (No. 166, hexagonal axes)
Asymmetric unit:
Pr: 0.0000 0.0000 0.2458 x6
Pr: 0.0018 0.5009 0.7513 x18
Nd: 0.0000 0.0000 0.0000 x3
Nd: 0.0000 0.0000 0.3361 x6
Nd: 0.0000 0.0000 0.5000 x3
Dy: 0.0000 0.5000 0.5000 x9

***

# 4
VASP calculation (PBE) on an optimized crystal structure of BaLiCuS2.

Properties
E_form (uncorrected) ... -1248 meV/atom

abc: 5.828 13.268 5.578
angles: 90.00 90.00 90.00
Space group Cmme (No. 67)
Asymmetric unit:
Ba: 0.000 0.250 0.243 x4
Li: 0.250 0.000 0.500 x4
Cu: 0.000 0.000 0.000 x4
S: 0.000 0.119 0.734 x8

***

In the order shown, the computed V values come out to 39.71, 24.56, 35.64, 21.57 Å³/atom.
In the order shown, the computed DFT total energy values come out to -3.404, -2.527, -4.621, -4.486 eV per atom.
In the order shown, the computed mass density values come out to 4.47, 3.57, 6.81, 4.19 Mg/m³.